1.
VASP calculation (PBE) on Pr5DyS6 after structural relaxation.

Structure (POSCAR):
```
Pr5DyS6
1.0
3.527 -6.120 0.000
3.527 6.120 0.000
-2.370 0.000 6.640
Pr Dy S
5 1 6
Cartesian
0.000 0.000 0.000
2.342 4.070 3.320
3.527 2.097 0.000
3.527 -2.097 0.000
2.342 -4.070 3.320
2.342 0.000 3.320
1.209 1.972 1.712
0.062 0.000 4.954
1.209 -1.972 1.712
3.475 1.972 4.928
4.621 0.000 1.687
3.475 -1.972 4.928
```

Calculated values
Symmetry   C2/m (12)

---

2.
VASP calculation (PBE) on Pr3DyS after structural relaxation.

Structure (POSCAR):
```
Pr3DyS
1.0
5.540 0.000 0.000
0.000 5.540 0.000
0.000 0.000 5.540
Pr Dy S
3 1 1
Cartesian
0.000 0.000 2.770
0.000 2.770 0.000
2.770 0.000 0.000
2.770 2.770 2.770
0.000 0.000 0.000
```

Calculated values
Symmetry   Pm-3m (221)

---

3.
VASP calculation (PBE) on Pr4DyS6 after structural relaxation.

Structure (POSCAR):
```
Pr4DyS6
1.0
1.974 -6.757 0.000
1.974 6.757 0.000
0.000 0.000 20.535
Pr Dy S
8 2 12
Cartesian
1.974 5.544 12.955
1.974 5.544 17.848
1.974 1.895 11.110
1.974 1.895 19.693
1.974 -1.895 0.842
1.974 -1.895 9.426
1.974 -5.544 2.688
1.974 -5.544 7.580
1.974 4.694 5.134
1.974 -4.694 15.401
0.000 0.000 0.000
0.000 0.000 10.268
1.974 4.009 15.401
1.974 3.088 1.867
1.974 3.088 8.401
1.974 0.760 13.784
1.974 0.760 17.019
1.974 -0.760 3.516
1.974 -0.760 6.752
1.974 -3.088 12.134
1.974 -3.088 18.669
1.974 -4.009 5.134
```

Calculated values
Symmetry   Cmcm (63)

---

4.
VASP calculation (PBE) on PrDyS3 after structural relaxation.

Structure (POSCAR):
```
PrDyS3
1.0
7.432 0.000 0.000
0.000 4.017 0.000
0.000 0.000 15.454
Pr Dy S
4 4 12
Cartesian
1.068 1.004 3.102
2.649 3.013 10.829
4.784 1.004 4.625
6.365 3.013 12.352
1.714 3.013 7.055
2.002 1.004 14.782
5.430 3.013 0.672
5.718 1.004 8.399
0.088 1.004 6.109
0.932 3.013 0.951
1.108 1.004 12.131
2.608 3.013 4.403
2.784 1.004 8.678
3.628 3.013 13.836
3.804 1.004 1.618
4.648 3.013 6.776
4.824 1.004 11.051
6.325 3.013 3.324
6.500 1.004 14.504
7.344 3.013 9.345
```

Calculated values
Energy above the most stable polymorph in this dataset   0.000 eV per formula unit
Symmetry   Pnma (62)

---

Asked for final energy across the records above, the calculation gives -6.455, -5.272, -6.410, -6.433 eV per atom in order.